Computed, not measured: SiAuSe2Br at its PBEsol-relaxed geometry at the meta-GGA SCAN level of DFT.

Structure (extended XYZ):
```
5
Lattice="5.032 0.000 0.000 0.000 5.032 0.000 0.000 0.000 4.974" Properties=species:S:1:pos:R:3 pbc="T T T"
Si 0.000 0.000 0.000
Au 2.516 2.516 2.487
Se 0.000 2.516 2.487
Se 2.516 0.000 2.487
Br 2.516 2.516 0.000
```

## Properties
V = 126 Å³/f.u.
electronic total energy = -27.057 eV per atom
raw formation energy = 0.701 eV per atom
symmetry = P4/mmm (123)
total magnetization = 0.0 μB per formula unit

Computed, not measured: Ni3TeH at its PBEsol-relaxed geometry at the meta-GGA SCAN level of DFT.

Structure (extended XYZ):
```
5
Lattice="3.756 0.000 0.000 0.000 3.756 0.000 0.000 0.000 3.756" Properties=species:S:1:pos:R:3 pbc="T T T"
Ni 0.000 0.000 1.878
Ni 0.000 1.878 0.000
Ni 1.878 0.000 0.000
Te 1.878 1.878 1.878
H 0.000 0.000 0.000
```

## Properties
V = 53 Å³/f.u.
electronic total energy = -17.806 eV per atom
symmetry = Pm-3m (221)
total magnetization = 0.0 μB per formula unit

Computed, not measured: PBr2 at its PBEsol-relaxed geometry at the meta-GGA SCAN level of DFT.

Structure (extended XYZ):
```
6
Lattice="6.411 -1.972 0.000 6.411 1.972 0.000 -3.712 0.000 6.696" Properties=species:S:1:pos:R:3 pbc="T T T"
P 1.488 0.000 2.662
P 7.622 0.000 4.034
Br -0.581 0.000 1.894
Br 0.310 0.000 5.537
Br 8.800 0.000 1.159
Br 9.691 0.000 4.802
```

## Properties
V = 85 Å³/f.u.
electronic total energy = -16.499 eV per atom
raw formation energy = -0.059 eV per atom
symmetry = C2/m (12)
total magnetization = 0.0 μB per formula unit

Computed, not measured: ScTlW at its PBEsol-relaxed geometry at the meta-GGA SCAN level of DFT.

Structure (extended XYZ):
```
3
Lattice="0.000 3.222 3.222 3.222 0.000 3.222 3.222 3.222 0.000" Properties=species:S:1:pos:R:3 pbc="T T T"
Sc 0.000 0.000 0.000
Tl 4.832 4.832 4.832
W 3.222 3.222 3.222
```

## Properties
V = 67 Å³/f.u.
electronic total energy = -51.140 eV per atom
formation energy from the elements = 0.954 eV per atom
symmetry = F-43m (216)
total magnetization = 0.0 μB per formula unit

Computed, not measured: BeP2OsS at its PBEsol-relaxed geometry at the meta-GGA SCAN level of DFT.

Structure (extended XYZ):
```
5
Lattice="4.382 0.000 0.000 0.000 4.382 0.000 0.000 0.000 5.211" Properties=species:S:1:pos:R:3 pbc="T T T"
Be 0.000 0.000 0.000
P 0.000 2.191 2.606
P 2.191 0.000 2.606
Os 2.191 2.191 2.606
S 2.191 2.191 0.000
```

## Properties
V = 100 Å³/f.u.
electronic total energy = -20.295 eV per atom
raw formation energy = 1.037 eV per atom
symmetry = P4/mmm (123)
total magnetization = 0.0 μB per formula unit

Computed, not measured: ReAg2Pt at its PBEsol-relaxed geometry at the meta-GGA SCAN level of DFT.

Structure (extended XYZ):
```
4
Lattice="0.000 3.146 3.146 3.146 0.000 3.146 3.146 3.146 0.000" Properties=species:S:1:pos:R:3 pbc="T T T"
Re 0.000 0.000 0.000
Ag 1.573 1.573 1.573
Ag 3.146 3.146 3.146
Pt 4.720 4.720 4.720
```

## Properties
V = 62 Å³/f.u.
electronic total energy = -50.403 eV per atom
formation energy from the elements = 0.603 eV per atom
symmetry = F-43m (216)
total magnetization = 0.9 μB per formula unit

Computed, not measured: InSn3Ge at its PBEsol-relaxed geometry at the meta-GGA SCAN level of DFT.

Structure (extended XYZ):
```
5
Lattice="5.465 0.000 0.000 0.000 5.465 0.000 0.000 0.000 5.465" Properties=species:S:1:pos:R:3 pbc="T T T"
In 0.000 0.000 0.000
Sn 0.000 0.000 2.732
Sn 0.000 2.732 0.000
Sn 2.732 0.000 0.000
Ge 2.732 2.732 2.732
```

## Properties
V = 163 Å³/f.u.
electronic total energy = -31.159 eV per atom
formation energy from the elements = 0.889 eV per atom
symmetry = Pm-3m (221)
total magnetization = 0.0 μB per formula unit

Computed, not measured: CsLuNb6Cl18 at its PBEsol-relaxed geometry at the meta-GGA SCAN level of DFT.

Structure (extended XYZ):
```
52
Lattice="9.190 0.000 0.000 -4.595 7.958 0.000 0.000 0.000 17.111" Properties=species:S:1:pos:R:3 pbc="T T T"
Cs 0.000 5.306 4.278
Cs 4.595 2.653 12.833
Lu 0.000 5.306 12.833
Lu 4.595 2.653 4.278
Nb -0.525 1.590 15.928
Nb -3.480 6.709 9.739
Nb 0.525 1.590 9.739
Nb -2.955 7.618 15.928
Nb 1.640 0.341 7.372
Nb 1.115 1.250 1.183
Nb 3.480 6.709 15.928
Nb 2.955 7.618 9.739
Nb 7.550 0.341 1.183
Nb 4.070 6.368 7.372
Nb 8.075 1.250 7.372
Nb 5.120 6.368 1.183
Cl -0.635 1.891 2.774
Cl -3.274 6.463 5.781
Cl -1.238 3.598 14.322
Cl -2.098 5.087 11.345
Cl -0.667 3.352 8.537
Cl -2.026 5.705 0.018
Cl 0.635 1.891 5.781
Cl -2.639 7.563 2.774
Cl 1.955 0.396 11.330
Cl 1.321 1.495 14.337
Cl 0.667 3.352 0.018
Cl -1.359 6.860 8.537
Cl 1.238 3.598 11.345
Cl -0.860 7.231 14.322
Cl 3.236 1.098 17.093
Cl 2.569 2.253 8.574
Cl 3.735 0.727 5.766
Cl 2.497 2.871 2.789
Cl 2.098 5.087 14.322
Cl 0.860 7.231 11.345
Cl 2.026 5.705 8.537
Cl 1.359 6.860 0.018
Cl 5.455 0.727 2.789
Cl 3.357 4.360 5.766
Cl 5.954 1.098 8.574
Cl 3.928 4.607 17.093
Cl 3.274 6.463 2.774
Cl 2.639 7.563 5.781
Cl 7.234 0.396 14.337
Cl 3.960 6.067 11.330
Cl 6.620 2.253 17.093
Cl 5.262 4.607 8.574
Cl 6.692 2.871 5.766
Cl 5.833 4.360 2.789
Cl 7.869 1.495 11.330
Cl 5.230 6.067 14.337
```

## Properties
V = 626 Å³/f.u.
electronic total energy = -18.439 eV per atom
raw formation energy = -1.688 eV per atom
symmetry = P-31c (163)
total magnetization = 0.0 μB per formula unit

Computed, not measured: La2CdW at its PBEsol-relaxed geometry at the meta-GGA SCAN level of DFT.

Structure (extended XYZ):
```
4
Lattice="-1.593 2.738 5.791 1.593 -2.738 5.791 1.593 2.738 -5.791" Properties=species:S:1:pos:R:3 pbc="T T T"
La 0.000 0.000 0.000
La 0.000 2.738 2.337
Cd 0.000 0.000 4.935
W 1.593 0.000 2.610
```

## Properties
V = 101 Å³/f.u.
electronic total energy = -46.168 eV per atom
formation energy from the elements = 0.410 eV per atom
symmetry = Imm2 (44)
total magnetization = 0.0 μB per formula unit

Computed, not measured: CaAlIr2F at its PBEsol-relaxed geometry at the meta-GGA SCAN level of DFT.

Structure (extended XYZ):
```
5
Lattice="4.355 0.000 0.000 0.000 4.355 0.000 0.000 0.000 6.011" Properties=species:S:1:pos:R:3 pbc="T T T"
Ca 0.000 0.000 0.000
Al 0.000 0.000 3.005
Ir 0.000 2.178 3.005
Ir 2.178 0.000 3.005
F 2.178 2.178 0.000
```

## Properties
V = 114 Å³/f.u.
electronic total energy = -32.507 eV per atom
raw formation energy = 0.124 eV per atom
symmetry = P4/mmm (123)
total magnetization = 1.1 μB per formula unit

Computed, not measured: YSi2Os at its PBEsol-relaxed geometry at the meta-GGA SCAN level of DFT.

Structure (extended XYZ):
```
4
Lattice="3.146 0.000 0.000 0.000 3.146 0.000 0.000 0.000 6.566" Properties=species:S:1:pos:R:3 pbc="T T T"
Y 0.000 0.000 0.000
Si 0.000 0.000 3.224
Si 1.573 1.573 4.620
Os 1.573 1.573 2.140
```

## Properties
V = 65 Å³/f.u.
electronic total energy = -30.338 eV per atom
raw formation energy = -0.400 eV per atom
symmetry = P4mm (99)
total magnetization = 0.0 μB per formula unit

Computed, not measured: TmTe3O8 at its PBEsol-relaxed geometry at the meta-GGA SCAN level of DFT.

Structure (extended XYZ):
```
24
Lattice="6.181 -2.740 0.000 6.181 2.740 0.000 -4.601 0.000 9.301" Properties=species:S:1:pos:R:3 pbc="T T T"
Tm 2.731 2.422 6.975
Tm 5.031 -2.422 2.325
Te 2.781 0.440 1.326
Te 0.481 -0.440 5.976
Te 6.181 0.000 0.000
Te 3.881 0.000 4.650
Te 7.281 0.440 3.325
Te 4.980 -0.440 7.975
O -2.025 0.585 8.507
O 0.799 1.392 8.038
O 3.648 1.317 3.064
O 2.146 0.655 5.530
O 0.276 -0.585 3.856
O 6.414 1.317 1.586
O 4.662 1.392 5.913
O 3.315 0.655 8.421
O 4.446 -0.655 0.880
O 3.099 -1.392 3.388
O 1.347 -1.317 7.714
O 7.486 0.585 5.444
O 5.616 -0.655 3.771
O 4.114 -1.317 6.237
O 6.963 -1.392 1.262
O 9.786 -0.585 0.794
```

## Properties
V = 158 Å³/f.u.
electronic total energy = -19.451 eV per atom
raw formation energy = -1.665 eV per atom
symmetry = C2/c (15)
total magnetization = 0.0 μB per formula unit